No. 1
# Pm5Nd4In2 | Alexandria via LeMat-Bulk | GGA-PBE | relaxed
# ΔE_f in meV per atom: 170
# Total DFT energy (no corrections) in eV per atom: -4.221
data_Pm5Nd4In2
_chemical_formula_sum 'Pm15 Nd12 In6'
_cell_length_a 5.3510
_cell_length_b 5.3510
_cell_length_c 47.3185
_cell_angle_alpha 90.00
_cell_angle_beta 90.00
_cell_angle_gamma 120.00
_space_group_name_H-M_alt 'R -3 m'
_space_group_IT_number 166
_space_group_name_Hall '-R 3 2"'
loop_
_atom_site_label
_atom_site_fract_x
_atom_site_fract_y
_atom_site_fract_z
Pm1 0.0000 0.0000 0.0000
Pm2 0.0000 0.0000 0.1484
Pm3 0.0000 0.0000 0.3038
Nd1 0.0000 0.0000 0.0733
Nd2 0.0000 0.0000 0.2268
In1 0.0000 0.0000 0.3816



No. 2
# Re2OsAu | Alexandria via LeMat-Bulk | GGA-PBE | relaxed
# Energy relative to the lowest polymorph listed for this composition in meV/atom: 715
# ΔE_f in meV per atom: 966
# Total DFT energy (no corrections) in eV per atom: -8.885
data_Re2OsAu
_chemical_formula_sum 'Re8 Os4 Au4'
_cell_length_a 7.294
_cell_length_b 7.294
_cell_length_c 5.315
_cell_angle_alpha 90.00
_cell_angle_beta 90.00
_cell_angle_gamma 90.00
_space_group_name_H-M_alt 'I -4 2 d'
_space_group_IT_number 122
_space_group_name_Hall 'I -4 2bw'
loop_
_atom_site_label
_atom_site_fract_x
_atom_site_fract_y
_atom_site_fract_z
Re1 0.202 0.250 0.125
Os1 0.000 0.000 0.000
Au1 0.000 0.000 0.500



No. 3
# Ho4SiSe2S | Alexandria via LeMat-Bulk | GGA-PBE | relaxed
# Energy relative to the elements, uncorrected in eV per atom: -1.622
# Total DFT energy (no corrections) in eV per atom: -5.975
data_Ho4SiSe2S
_chemical_formula_sum 'Ho4 Si1 Se2 S1'
_cell_length_a 6.944
_cell_length_b 4.024
_cell_length_c 7.072
_cell_angle_alpha 90.00
_cell_angle_beta 109.34
_cell_angle_gamma 90.00
_space_group_name_H-M_alt 'P 1 2/m 1'
_space_group_IT_number 10
_space_group_name_Hall '-P 2y'
loop_
_atom_site_label
_atom_site_fract_x
_atom_site_fract_y
_atom_site_fract_z
Ho1 0.242 0.000 0.233
Ho2 0.253 0.500 0.770
Si1 0.000 0.500 0.000
Se1 0.000 0.000 0.500
Se2 0.500 0.500 0.500
S1 0.500 0.000 0.000



No. 4
# Pu2ZnCo | Alexandria via LeMat-Bulk | GGA-PBE | relaxed
# Energy relative to the lowest polymorph listed for this composition in meV/atom: 434
# ΔE_f in meV per atom: 433
# Total DFT energy (no corrections) in eV per atom: -8.828
data_Pu2ZnCo
_chemical_formula_sum 'Pu6 Zn3 Co3'
_cell_length_a 2.8540
_cell_length_b 2.8540
_cell_length_c 32.1884
_cell_angle_alpha 90.00
_cell_angle_beta 90.00
_cell_angle_gamma 120.00
_space_group_name_H-M_alt 'R -3 m'
_space_group_IT_number 166
_space_group_name_Hall '-R 3 2"'
loop_
_atom_site_label
_atom_site_fract_x
_atom_site_fract_y
_atom_site_fract_z
Pu1 0.0000 0.0000 0.0951
Zn1 0.0000 0.0000 0.0000
Co1 0.0000 0.0000 0.5000



No. 5
# Tb4PrTl2 | Alexandria via LeMat-Bulk | GGA-PBE | relaxed
# Energy relative to the lowest polymorph listed for this composition in meV/atom: 0
# ΔE_f in meV per atom: -123
# Total DFT energy (no corrections) in eV per atom: -4.128
data_Tb4PrTl2
_chemical_formula_sum 'Tb16 Pr4 Tl8'
_cell_length_a 16.789
_cell_length_b 5.479
_cell_length_c 9.900
_cell_angle_alpha 90.00
_cell_angle_beta 106.59
_cell_angle_gamma 90.00
_space_group_name_H-M_alt 'C 1 2/m 1'
_space_group_IT_number 12
_space_group_name_Hall '-C 2y'
loop_
_atom_site_label
_atom_site_fract_x
_atom_site_fract_y
_atom_site_fract_z
Tb1 0.035 0.000 0.187
Tb2 0.141 0.500 0.829
Tb3 0.201 0.500 0.193
Tb4 0.241 0.500 0.581
Pr1 0.099 0.000 0.574
Tl1 0.050 0.500 0.366
Tl2 0.158 0.000 0.999



No. 6
# Li2CaHg6 | Alexandria via LeMat-Bulk | GGA-PBE | relaxed
# Energy relative to the lowest polymorph listed for this composition in meV/atom: 161
# ΔE_f in meV per atom: -128
# Total DFT energy (no corrections) in eV per atom: -0.977
data_Li2CaHg6
_chemical_formula_sum 'Li2 Ca1 Hg6'
_cell_length_a 5.5542
_cell_length_b 5.5542
_cell_length_c 9.7020
_cell_angle_alpha 90.00
_cell_angle_beta 90.00
_cell_angle_gamma 120.00
_space_group_name_H-M_alt 'P -3 1 m'
_space_group_IT_number 162
_space_group_name_Hall '-P 3 2'
loop_
_atom_site_label
_atom_site_fract_x
_atom_site_fract_y
_atom_site_fract_z
Li1 0.3333 0.6667 0.0000
Ca1 0.0000 0.0000 0.5000
Hg1 0.0000 0.3378 0.2307



No. 7
# Tb9Sm2Y | Alexandria via LeMat-Bulk | GGA-PBE | relaxed
# ΔE_f in meV per atom: 19
# Total DFT energy (no corrections) in eV per atom: -4.778
data_Tb9Sm2Y
_chemical_formula_sum 'Tb9 Sm2 Y1'
_cell_length_a 5.054
_cell_length_b 5.054
_cell_length_c 15.163
_cell_angle_alpha 90.00
_cell_angle_beta 90.00
_cell_angle_gamma 90.00
_space_group_name_H-M_alt 'P 4/m m m'
_space_group_IT_number 123
_space_group_name_Hall '-P 4 2'
loop_
_atom_site_label
_atom_site_fract_x
_atom_site_fract_y
_atom_site_fract_z
Tb1 0.000 0.000 0.000
Tb2 0.000 0.000 0.333
Tb3 0.000 0.500 0.166
Tb4 0.000 0.500 0.500
Sm1 0.500 0.500 0.333
Y1 0.500 0.500 0.000



No. 8
# HfCo4Si2 | Alexandria via LeMat-Bulk | GGA-PBE | relaxed
# Energy relative to the lowest polymorph listed for this composition in meV/atom: 12
# Energy relative to the elements, uncorrected in eV per atom: -0.549
# Total DFT energy (no corrections) in eV per atom: -7.581
data_HfCo4Si2
_chemical_formula_sum 'Hf4 Co16 Si8'
_cell_length_a 15.498
_cell_length_b 3.733
_cell_length_c 5.960
_cell_angle_alpha 90.00
_cell_angle_beta 90.00
_cell_angle_gamma 90.00
_space_group_name_H-M_alt 'P n m a'
_space_group_IT_number 62
_space_group_name_Hall '-P 2ac 2n'
loop_
_atom_site_label
_atom_site_fract_x
_atom_site_fract_y
_atom_site_fract_z
Hf1 0.138 0.250 0.015
Co1 0.032 0.750 0.848
Co2 0.080 0.250 0.514
Co3 0.186 0.750 0.722
Co4 0.189 0.750 0.319
Si1 0.042 0.750 0.263
Si2 0.225 0.250 0.519



No. 9
# Sc2BeTe | Alexandria via LeMat-Bulk | GGA-PBE | relaxed
# Energy relative to the lowest polymorph listed for this composition in meV/atom: 718
# Energy relative to the elements, uncorrected in eV per atom: 0.239
# Total DFT energy (no corrections) in eV per atom: -4.644
data_Sc2BeTe
_chemical_formula_sum 'Sc8 Be4 Te4'
_cell_length_a 6.857
_cell_length_b 6.857
_cell_length_c 6.857
_cell_angle_alpha 90.00
_cell_angle_beta 90.00
_cell_angle_gamma 90.00
_space_group_name_H-M_alt 'F -4 3 m'
_space_group_IT_number 216
_space_group_name_Hall 'F -4 2 3'
loop_
_atom_site_label
_atom_site_fract_x
_atom_site_fract_y
_atom_site_fract_z
Sc1 0.000 0.000 0.000
Sc2 0.250 0.250 0.250
Be1 0.000 0.000 0.500
Te1 0.250 0.250 0.750



No. 10
# Ho3Ge13Rh4 | Alexandria via LeMat-Bulk | GGA-PBE | relaxed
# ΔE_f in meV per atom: -543
# Total DFT energy (no corrections) in eV per atom: -5.701
data_Ho3Ge13Rh4
_chemical_formula_sum 'Ho6 Ge26 Rh8'
_cell_length_a 9.007
_cell_length_b 9.007
_cell_length_c 9.007
_cell_angle_alpha 90.00
_cell_angle_beta 90.00
_cell_angle_gamma 90.00
_space_group_name_H-M_alt 'P m -3 n'
_space_group_IT_number 223
_space_group_name_Hall '-P 4n 2 3'
loop_
_atom_site_label
_atom_site_fract_x
_atom_site_fract_y
_atom_site_fract_z
Ho1 0.000 0.250 0.500
Ge1 0.000 0.000 0.000
Ge2 0.000 0.311 0.147
Rh1 0.250 0.250 0.250



No. 11
# Pr2Sn5Ir3 | Alexandria via LeMat-Bulk | GGA-PBE | relaxed
# Energy relative to the lowest polymorph listed for this composition in meV/atom: 54
# ΔE_f in meV per atom: -568
# Total DFT energy (no corrections) in eV per atom: -6.184
data_Pr2Sn5Ir3
_chemical_formula_sum 'Pr8 Sn20 Ir12'
_cell_length_a 11.130
_cell_length_b 12.789
_cell_length_c 6.447
_cell_angle_alpha 90.00
_cell_angle_beta 90.00
_cell_angle_gamma 90.00
_space_group_name_H-M_alt 'I b a m'
_space_group_IT_number 72
_space_group_name_Hall '-I 2 2c'
loop_
_atom_site_label
_atom_site_fract_x
_atom_site_fract_y
_atom_site_fract_z
Pr1 0.224 0.145 0.000
Sn1 0.000 0.000 0.250
Sn2 0.000 0.277 0.250
Sn3 0.167 0.413 0.000
Ir1 0.000 0.500 0.250
Ir2 0.111 0.142 0.500



No. 12
# AlCrPd2 | Alexandria via LeMat-Bulk | GGA-PBE | relaxed
# ΔE_f in meV per atom: -415
# Total DFT energy (no corrections) in eV per atom: -6.353
data_AlCrPd2
_chemical_formula_sum 'Al1 Cr1 Pd2'
_cell_length_a 4.085
_cell_length_b 4.085
_cell_length_c 3.571
_cell_angle_alpha 90.00
_cell_angle_beta 90.00
_cell_angle_gamma 90.00
_space_group_name_H-M_alt 'P 4/m m m'
_space_group_IT_number 123
_space_group_name_Hall '-P 4 2'
loop_
_atom_site_label
_atom_site_fract_x
_atom_site_fract_y
_atom_site_fract_z
Al1 0.000 0.000 0.000
Cr1 0.500 0.500 0.000
Pd1 0.000 0.500 0.500



No. 13
# SbAsSe2Cl | Alexandria via LeMat-Bulk | GGA-PBE | relaxed
# Energy relative to the lowest polymorph listed for this composition in meV/atom: 0
# Energy relative to the elements, uncorrected in eV per atom: 0.672
# Total DFT energy (no corrections) in eV per atom: -2.846
data_SbAsSe2Cl
_chemical_formula_sum 'Sb1 As1 Se2 Cl1'
_cell_length_a 5.237
_cell_length_b 5.237
_cell_length_c 5.616
_cell_angle_alpha 90.00
_cell_angle_beta 90.00
_cell_angle_gamma 90.00
_space_group_name_H-M_alt 'P 4/m m m'
_space_group_IT_number 123
_space_group_name_Hall '-P 4 2'
loop_
_atom_site_label
_atom_site_fract_x
_atom_site_fract_y
_atom_site_fract_z
Sb1 0.000 0.000 0.000
As1 0.000 0.000 0.500
Se1 0.000 0.500 0.000
Cl1 0.500 0.500 0.500



No. 14
# Na2HPdPt | Alexandria via LeMat-Bulk | GGA-PBE | relaxed
# Total DFT energy (no corrections) in eV per atom: -3.521
data_Na2HPdPt
_chemical_formula_sum 'Na2 H1 Pd1 Pt1'
_cell_length_a 4.528
_cell_length_b 4.528
_cell_length_c 3.674
_cell_angle_alpha 90.00
_cell_angle_beta 90.00
_cell_angle_gamma 90.00
_space_group_name_H-M_alt 'P 4/m m m'
_space_group_IT_number 123
_space_group_name_Hall '-P 4 2'
loop_
_atom_site_label
_atom_site_fract_x
_atom_site_fract_y
_atom_site_fract_z
Na1 0.000 0.500 0.000
H1 0.000 0.000 0.000
Pd1 0.500 0.500 0.500
Pt1 0.000 0.000 0.500



No. 15
# TeRu2Pb | Alexandria via LeMat-Bulk | GGA-PBE | relaxed
# Energy relative to the lowest polymorph listed for this composition in meV/atom: 165
# Energy relative to the elements, uncorrected in eV per atom: 0.480
# Total DFT energy (no corrections) in eV per atom: -5.871
data_TeRu2Pb
_chemical_formula_sum 'Te3 Ru6 Pb3'
_cell_length_a 3.0872
_cell_length_b 3.0872
_cell_length_c 31.2820
_cell_angle_alpha 90.00
_cell_angle_beta 90.00
_cell_angle_gamma 120.00
_space_group_name_H-M_alt 'R 3 m'
_space_group_IT_number 160
_space_group_name_Hall 'R 3 -2"'
loop_
_atom_site_label
_atom_site_fract_x
_atom_site_fract_y
_atom_site_fract_z
Te1 0.0000 0.0000 0.0000
Ru1 0.0000 0.0000 0.2650
Ru2 0.0000 0.0000 0.5359
Pb1 0.0000 0.0000 0.7916



No. 16
# Cu15GeAu4 | Alexandria via LeMat-Bulk | GGA-PBE | relaxed
# ΔE_f in meV per atom: -15
# Total DFT energy (no corrections) in eV per atom: -3.974
data_Cu15GeAu4
_chemical_formula_sum 'Cu15 Ge1 Au4'
_cell_length_a 3.741
_cell_length_b 3.741
_cell_length_c 19.178
_cell_angle_alpha 90.00
_cell_angle_beta 90.00
_cell_angle_gamma 90.00
_space_group_name_H-M_alt 'P 4/m m m'
_space_group_IT_number 123
_space_group_name_Hall '-P 4 2'
loop_
_atom_site_label
_atom_site_fract_x
_atom_site_fract_y
_atom_site_fract_z
Cu1 0.000 0.000 0.000
Cu2 0.000 0.000 0.196
Cu3 0.000 0.000 0.399
Cu4 0.000 0.500 0.096
Cu5 0.000 0.500 0.298
Cu6 0.000 0.500 0.500
Ge1 0.500 0.500 0.000
Au1 0.500 0.500 0.199
Au2 0.500 0.500 0.399



No. 17
# KSbOs2 | Alexandria via LeMat-Bulk | GGA-PBE | relaxed
# Energy relative to the elements, uncorrected in eV per atom: 0.520
# Total DFT energy (no corrections) in eV per atom: -6.400
data_KSbOs2
_chemical_formula_sum 'K2 Sb2 Os4'
_cell_length_a 3.584
_cell_length_b 2.918
_cell_length_c 17.485
_cell_angle_alpha 90.00
_cell_angle_beta 90.00
_cell_angle_gamma 90.00
_space_group_name_H-M_alt 'A m m 2'
_space_group_IT_number 38
_space_group_name_Hall 'A 2 -2'
loop_
_atom_site_label
_atom_site_fract_x
_atom_site_fract_y
_atom_site_fract_z
K1 0.000 0.000 0.000
Sb1 0.500 0.000 0.337
Os1 0.000 0.000 0.216
Os2 0.500 0.000 0.653



No. 18
# TmPS | Alexandria via LeMat-Bulk | GGA-PBE | relaxed
# Energy relative to the elements, uncorrected in eV per atom: -1.546
# Total DFT energy (no corrections) in eV per atom: -6.216
data_TmPS
_chemical_formula_sum 'Tm8 P8 S8'
_cell_length_a 5.277
_cell_length_b 5.262
_cell_length_c 16.558
_cell_angle_alpha 90.00
_cell_angle_beta 90.00
_cell_angle_gamma 90.00
_space_group_name_H-M_alt 'P n m a'
_space_group_IT_number 62
_space_group_name_Hall '-P 2ac 2n'
loop_
_atom_site_label
_atom_site_fract_x
_atom_site_fract_y
_atom_site_fract_z
Tm1 0.014 0.250 0.145
Tm2 0.016 0.750 0.362
P1 0.212 0.534 0.998
S1 0.011 0.250 0.315
S2 0.014 0.750 0.189



No. 19
# Li2Sn3Pd4 | Alexandria via LeMat-Bulk | GGA-PBE | relaxed
# Energy relative to the lowest polymorph listed for this composition in meV/atom: 65
# ΔE_f in meV per atom: -473
# Total DFT energy (no corrections) in eV per atom: -4.540
data_Li2Sn3Pd4
_chemical_formula_sum 'Li8 Sn12 Pd16'
_cell_length_a 6.105
_cell_length_b 16.150
_cell_length_c 7.204
_cell_angle_alpha 90.00
_cell_angle_beta 90.00
_cell_angle_gamma 90.00
_space_group_name_H-M_alt 'C m c e'
_space_group_IT_number 64
_space_group_name_Hall '-C 2ac 2'
loop_
_atom_site_label
_atom_site_fract_x
_atom_site_fract_y
_atom_site_fract_z
Li1 0.000 0.087 0.095
Sn1 0.000 0.000 0.500
Sn2 0.250 0.240 0.750
Pd1 0.000 0.166 0.473
Pd2 0.250 0.073 0.750



No. 20
# CdNiPb | Alexandria via LeMat-Bulk | GGA-PBE | relaxed
# Energy relative to the lowest polymorph listed for this composition in meV/atom: 197
# ΔE_f in meV per atom: 285
# Total DFT energy (no corrections) in eV per atom: -3.183
data_CdNiPb
_chemical_formula_sum 'Cd1 Ni1 Pb1'
_cell_length_a 4.3479
_cell_length_b 4.3479
_cell_length_c 4.0318
_cell_angle_alpha 90.00
_cell_angle_beta 90.00
_cell_angle_gamma 120.00
_space_group_name_H-M_alt 'P 3 m 1'
_space_group_IT_number 156
_space_group_name_Hall 'P 3 -2"'
loop_
_atom_site_label
_atom_site_fract_x
_atom_site_fract_y
_atom_site_fract_z
Cd1 0.0000 0.0000 0.0000
Ni1 0.6667 0.3333 0.2546
Pb1 0.3333 0.6667 0.5167